Entry 1:
Entry from the Alexandria database: a geometry-optimized AgSbBr2 structure (PBE).

The calculation puts the formation energy from raw total energies at -0.173 eV/atom. The space group is R-3m, No. 166. Its total DFT energy (no corrections) is -2.753 eV/atom.

Cell lengths 9.446, 9.446, 9.446 Å; angles 23.30, 23.30, 23.30 degrees
Element x y z (fractional)
Ag (0.500, 0.500, 0.500)
Br (0.101, 0.101, 0.101)
Br (0.899, 0.899, 0.899)
Sb (0.000, 0.000, 0.000)

Entry 2:
Entry from the Alexandria database: a geometry-optimized Ag2SbBr8 structure (PBE).

The calculation puts the formation energy from raw total energies at -0.236 eV/atom. The space group is C2/m, No. 12. Its total DFT energy (no corrections) is -2.346 eV/atom.

Cell lengths 8.375, 9.064, 8.443 Å; angles 106.99, 90.00, 117.52 degrees
Element x y z (fractional)
Br (0.056, 0.113, 0.723)
Br (0.664, 0.771, 0.837)
Br (0.893, 0.229, 0.163)
Br (0.724, 0.447, 0.383)
Br (0.107, 0.771, 0.837)
Br (0.944, 0.887, 0.277)
Br (0.276, 0.553, 0.617)
Br (0.336, 0.229, 0.163)
Ag (0.883, 0.766, 0.565)
Ag (0.117, 0.234, 0.435)
Sb (0.000, 0.000, 0.000)

Repeat the first record exactly.
Entry from the Alexandria database: a geometry-optimized AgSbBr2 structure (PBE).

The calculation puts the formation energy from raw total energies at -0.173 eV/atom. The space group is R-3m, No. 166. Its total DFT energy (no corrections) is -2.753 eV/atom.

Cell lengths 9.446, 9.446, 9.446 Å; angles 23.30, 23.30, 23.30 degrees
Element x y z (fractional)
Ag (0.500, 0.500, 0.500)
Br (0.101, 0.101, 0.101)
Br (0.899, 0.899, 0.899)
Sb (0.000, 0.000, 0.000)

Question: The lowest total DFT energy (no corrections) belongs to which entry?
Answer: AgSbBr2

Question: Which of these has the lowest total DFT energy (no corrections)?
Answer: AgSbBr2

Question: Number 2 is which compound?
Answer: Ag2SbBr8